Entry i
The following is a DFT calculation (GGA-PBE) of Ag4HgAu after structural relaxation.

The space group is C2/c (No. 15) and the conventional cell measures 19.394, 5.681 and 5.024 Å, with angles of 90.00, 101.59 and 90.00 degrees. The asymmetric unit holds Ag at (0.119, 0.123, 0.175), Ag at (0.122, 0.382, 0.681), Hg at (0.250, 0.250, 0.500) and Au at (0.000, 0.142, 0.750).

As for the density: 10.16 g/cm3. The size of the total moment is 0.000 μB/atom.

Entry ii
The following is a DFT calculation (GGA-PBE) of Ag4HgAu after structural relaxation.

The space group is P4/mmm (No. 123) and the conventional cell measures 4.006, 4.006 and 8.300 Å, with angles of 90.00, 90.00 and 90.00 degrees. The asymmetric unit holds Ag at (0.000, 0.500, 0.239), Hg at (0.000, 0.000, 0.500) and Au at (0.500, 0.500, 0.000).

As for the density: 10.34 g/cm3. The size of the total moment is 0.000 μB/atom.

Entry iii
The following is a DFT calculation (GGA-PBE) of Ag4HgAu after structural relaxation.

The space group is F-43m (No. 216) and the conventional cell measures 7.818, 7.818 and 7.818 Å, with angles of 90.00, 90.00 and 90.00 degrees. The asymmetric unit holds Ag at (0.125, 0.125, 0.125), Hg at (0.000, 0.000, 0.500) and Au at (0.250, 0.250, 0.750).

As for the density: 11.52 g/cm3. The size of the total moment is 0.000 μB/atom.

Tell me which of them is the least stable. Sure, it is entry iii.

Entry i
The following is a DFT calculation (GGA-PBE) of Ag5Hg2Au after structural relaxation.

The space group is I4/mmm (No. 139) and the conventional cell measures 4.376, 4.376 and 15.999 Å, with angles of 90.00, 90.00 and 90.00 degrees. The asymmetric unit holds Ag at (0.000, 0.000, 0.000), Ag at (0.000, 0.500, 0.119), Hg at (0.000, 0.000, 0.251) and Au at (0.000, 0.000, 0.500).

As for the density: 12.33 g/cm3. The size of the total moment is 0.000 μB/atom.

Entry ii
The following is a DFT calculation (GGA-PBE) of Ag5Hg2Au after structural relaxation.

The space group is Pbam (No. 55) and the conventional cell measures 5.992, 11.987 and 4.218 Å, with angles of 90.00, 90.00 and 90.00 degrees. The asymmetric unit holds Ag at (0.000, 0.000, 0.000), Ag at (0.002, 0.251, 0.000), Ag at (0.249, 0.875, 0.500), Hg at (0.249, 0.126, 0.500) and Au at (0.000, 0.500, 0.000).

As for the density: 12.47 g/cm3. The size of the total moment is 0.000 μB/atom.

Tell me which of them is the least stable. Sure, it is entry i.

Entry i
The following is a DFT calculation (GGA-PBE) of AgHg3Au after structural relaxation.

The space group is Pm-3m (No. 221) and the conventional cell measures 5.358, 5.358 and 5.358 Å, with angles of 90.00, 90.00 and 90.00 degrees. The asymmetric unit holds Ag at (0.000, 0.000, 0.000), Hg at (0.000, 0.000, 0.500) and Au at (0.500, 0.500, 0.500).

As for the density: 9.79 g/cm3. The size of the total moment is 0.000 μB/atom.

Entry ii
The following is a DFT calculation (GGA-PBE) of AgHg3Au after structural relaxation.

The space group is Pm-3m (No. 221) and the conventional cell measures 5.367, 5.367 and 5.367 Å, with angles of 90.00, 90.00 and 90.00 degrees. The asymmetric unit holds Ag at (0.000, 0.000, 0.000), Hg at (0.000, 0.500, 0.500) and Au at (0.500, 0.500, 0.500).

As for the density: 9.74 g/cm3. The size of the total moment is 0.000 μB/atom.

Tell me which of them is the least stable. Sure, it is entry i.

Entry i
The following is a DFT calculation (GGA-PBE) of Ag6Hg2Au after structural relaxation.

The space group is C2/m (No. 12) and the conventional cell measures 14.794, 8.235 and 2.874 Å, with angles of 90.00, 93.46 and 90.00 degrees. The asymmetric unit holds Ag at (0.000, 0.183, 0.000), Ag at (0.162, 0.323, 0.517), Hg at (0.177, 0.000, 0.998) and Au at (0.000, 0.500, 0.500).

As for the density: 11.83 g/cm3. The size of the total moment is 0.000 μB/atom.

Entry ii
The following is a DFT calculation (GGA-PBE) of Ag6Hg2Au after structural relaxation.

The space group is P-1 (No. 2) and the conventional cell measures 2.958, 5.049 and 12.148 Å, with angles of 95.51, 96.36 and 105.11 degrees. The asymmetric unit holds Ag at (0.148, 0.070, 0.232), Ag at (0.177, 0.788, 0.553), Ag at (0.215, 0.512, 0.892), Hg at (0.489, 0.639, 0.332) and Au at (0.000, 0.000, 0.000).

As for the density: 11.98 g/cm3. The size of the total moment is 0.000 μB/atom.

Tell me which of them is the least stable. Sure, it is entry i.

Entry i
The following is a DFT calculation (GGA-PBE) of Ag5HgAu5 after structural relaxation.

The space group is P-1 (No. 2) and the conventional cell measures 5.281, 5.831 and 7.191 Å, with angles of 103.55, 95.49 and 97.72 degrees. The asymmetric unit holds Ag at (0.000, 0.000, 0.000), Ag at (0.082, 0.727, 0.627), Ag at (0.483, 0.732, 0.925), Hg at (0.000, 0.500, 0.000), Au at (0.225, 0.235, 0.710), Au at (0.326, 0.979, 0.329) and Au at (0.500, 0.500, 0.500).

As for the density: 13.54 g/cm3. The size of the total moment is 0.000 μB/atom.

Entry ii
The following is a DFT calculation (GGA-PBE) of Ag5HgAu5 after structural relaxation.

The space group is P-6m2 (No. 187) and the conventional cell measures 5.2787, 5.2787 and 9.9668 Å, with angles of 90.00, 90.00 and 120.00 degrees. The asymmetric unit holds Ag at (0.0000, 0.0000, 0.0000), Ag at (0.3333, 0.6667, 0.3054), Ag at (0.6667, 0.3333, 0.2377), Hg at (0.3333, 0.6667, 0.0000), Au at (0.0000, 0.0000, 0.2616) and Au at (0.3360, 0.1680, 0.5000).

As for the density: 11.91 g/cm3. The size of the total moment is 0.000 μB/atom.

Tell me which of them is the least stable. Sure, it is entry ii.

Entry i
The following is a DFT calculation (GGA-PBE) of Ag3Hg2Au3 after structural relaxation.

The space group is R32 (No. 155, hexagonal axes) and the conventional cell measures 7.0178, 7.0178 and 11.1463 Å, with angles of 90.00, 90.00 and 120.00 degrees. The asymmetric unit holds Ag at (0.0000, 0.2411, 0.0000), Hg at (0.0000, 0.0000, 0.2428) and Au at (0.0000, 0.7643, 0.5000).

As for the density: 13.79 g/cm3. The size of the total moment is 0.000 μB/atom.

Entry ii
The following is a DFT calculation (GGA-PBE) of Ag3Hg2Au3 after structural relaxation.

The space group is C2/m (No. 12) and the conventional cell measures 13.249, 4.968 and 4.972 Å, with angles of 90.00, 111.33 and 90.00 degrees. The asymmetric unit holds Ag at (0.000, 0.000, 0.000), Ag at (0.120, 0.000, 0.618), Hg at (0.249, 0.000, 0.247), Au at (0.000, 0.500, 0.500) and Au at (0.122, 0.500, 0.123).

As for the density: 14.33 g/cm3. The size of the total moment is 0.000 μB/atom.

Tell me which of them is the least stable. Sure, it is entry i.